1.
TmSi2, optimized geometry, DFT PBE; E_tot = -3.29 eV per atom
1.0
3.2974 6.1115 6.2197
8.6369 -0.9789 3.3695
6.6764 6.0200 -2.4683
Si Tm
4 2
direct
0.3750 0.8750 0.3750
0.3750 0.3750 0.8750
0.3750 0.3750 0.3750
0.8750 0.3750 0.3750
0.2500 0.2500 0.2500
0.5000 0.5000 0.5000

=====

2.
Dy2Y3Er2Ni2Te2, optimized geometry, DFT PBE; E_tot = -5.70 eV per atom
1.0
-1.9211 7.7863 4.7725
1.9211 -7.7863 4.7725
1.9211 7.7863 -4.7725
Dy Te Y Er Ni
2 2 3 2 2
direct
0.7814 0.0968 0.6846
0.4122 0.0968 0.3154
0.7420 0.2420 0.5000
0.1409 0.1409 0.0000
0.0990 0.7454 0.3536
0.4775 0.4775 0.0000
0.3917 0.7454 0.6464
0.0269 0.8952 0.1317
0.7634 0.8952 0.8682
0.1667 0.4055 0.7612
0.6443 0.4055 0.2388

=====

3.
Lu4Sn3Mo2N3, optimized geometry, DFT PBE; E_tot = -7.22 eV per atom
1.0
-0.5522 2.3813 5.2312
-5.1617 1.8827 1.7758
-4.6184 -11.5388 7.8260
Sn N Lu Mo
6 6 8 4
direct
0.1131 0.8869 0.7500
0.5845 0.7197 0.2485
0.4155 0.2803 0.7515
0.2803 0.4155 0.2515
0.8869 0.1131 0.2500
0.7197 0.5845 0.7485
0.3299 0.8402 0.0000
0.5000 0.0000 0.5000
0.6701 0.1598 0.0000
0.1598 0.6701 0.5001
0.8402 0.3299 0.4999
0.0000 0.5000 0.0000
0.8532 0.6977 0.4132
0.2032 0.0222 0.4132
0.6977 0.8532 0.9132
0.3023 0.1468 0.0868
0.0222 0.2032 0.9132
0.1468 0.3023 0.5868
0.7968 0.9778 0.5868
0.9778 0.7968 0.0868
0.4742 0.6208 0.5820
0.6208 0.4742 0.0820
0.5258 0.3792 0.4180
0.3792 0.5258 0.9180

=====

4.
SmAs2Pt8, optimized geometry, DFT PBE; E_tot = -6.16 eV per atom
1.0
6.1951 -2.0635 0.0000
6.1951 2.0635 0.0000
-5.8045 0.0000 7.4012
Pt Sm As
8 1 2
direct
0.2407 0.2407 0.1029
0.5467 0.5467 0.3949
0.1853 0.1853 0.6540
0.1695 0.1695 0.3334
0.4533 0.4533 0.6051
0.8305 0.8305 0.6666
0.8147 0.8147 0.3460
0.7593 0.7593 0.8971
0.5000 0.5000 0.0000
0.0676 0.0676 0.7855
0.9324 0.9324 0.2145

=====

5.
Sc2ZnTc, optimized geometry, DFT PBE; ΔE_f = -0.2 eV/f.u.; E_tot = -6.13 eV per atom
1.0
2.3354 -4.0451 0.0000
2.3354 4.0451 0.0000
0.0000 0.0000 7.9778
Tc Sc Zn
2 4 2
direct
0.6667 0.3333 0.2500
0.3333 0.6667 0.7500
0.3333 0.6667 0.4200
0.3333 0.6667 0.0800
0.6667 0.3333 0.5800
0.6667 0.3333 0.9200
0.0000 0.0000 0.7500
0.0000 0.0000 0.2500

=====

6.
Zr2Re3Tc, optimized geometry, DFT PBE; ΔE_f = -2.1 eV/f.u.; E_tot = -11.14 eV per atom
1.0
-5.0903 -0.2548 -1.2803
3.0909 -4.1968 -0.6691
-1.9061 -2.6976 8.1152
Zr Re Tc
4 6 2
direct
0.6667 0.3333 0.0630
0.3333 0.6667 0.5630
0.3333 0.6667 0.9370
0.6667 0.3333 0.4370
0.6579 0.8290 0.2500
0.8290 0.6579 0.7500
0.1710 0.8290 0.2500
0.3421 0.1710 0.7500
0.8290 0.1710 0.7500
0.1710 0.3421 0.2500
0.0000 0.0000 0.0000
0.0000 0.0000 0.5000

=====

7.
Fe2Te, optimized geometry, DFT PBE; E_tot = -6.19 eV per atom
1.0
1.0223 -4.8822 -1.1778
-2.1313 -3.7908 2.7121
-3.6267 -2.9392 -2.1155
Fe Te
4 2
direct
0.1250 0.6250 0.6250
0.6250 0.6250 0.1250
0.6250 0.6250 0.6250
0.6250 0.1250 0.6250
0.0000 0.0000 0.0000
0.2500 0.2500 0.2500

=====

8.
Ag2B2O5, optimized geometry, DFT PBE; E_tot = -5.31 eV per atom
1.0
-5.6826 3.8230 -2.6071
-1.0796 -2.6996 -1.6054
-1.7979 -0.8608 2.6565
Ag O B
2 5 2
direct
0.0000 0.0000 0.0000
0.5000 0.0000 0.0000
0.5000 0.5000 0.5000
0.2303 0.0000 0.5000
0.2303 0.5000 0.0000
0.7697 0.0000 0.5000
0.7697 0.5000 0.0000
0.7017 0.5000 0.5000
0.2983 0.5000 0.5000

=====

9.
DyHo2Ni2B2As3, optimized geometry, DFT PBE; E_tot = -6.01 eV per atom
1.0
1.4811 1.1346 11.0803
0.0401 6.3270 9.2855
-3.5003 -4.3429 -9.7540
As Dy Ni Ho B
3 1 2 2 2
direct
0.8711 0.8711 0.0000
0.1289 0.1289 0.0000
0.5000 0.5000 0.0000
0.0000 0.0000 0.0000
0.7500 0.2500 0.5000
0.2500 0.7500 0.5000
0.3595 0.3595 0.0000
0.6405 0.6405 0.0000
0.7752 0.7752 0.0000
0.2248 0.2248 0.0000

=====

10.
CdInNiPd, optimized geometry, DFT PBE; E_tot = -3.84 eV per atom
1.0
0.0000 3.2144 3.2144
3.2144 0.0000 3.2144
3.2144 3.2144 0.0000
In Ni Pd Cd
1 1 1 1
direct
0.0000 0.0000 0.0000
0.7500 0.7500 0.7500
0.2500 0.2500 0.2500
0.5000 0.5000 0.5000

=====

11.
NaSmPO, optimized geometry, DFT PBE; E_tot = -5.67 eV per atom
1.0
-1.6150 -1.7986 -3.1059
3.5890 -0.7894 -1.4091
0.0542 -8.8066 5.0717
Na Sm P O
2 2 2 2
direct
0.0000 0.0000 0.5000
0.5000 0.5000 0.5000
0.5000 0.0000 0.8843
0.0000 0.5000 0.1157
0.5000 0.0000 0.2959
0.0000 0.5000 0.7041
0.5000 0.5000 0.0000
0.0000 0.0000 0.0000

=====

12.
Hg7Cl2O3, optimized geometry, DFT PBE; E_tot = -2.05 eV per atom
1.0
-0.1441 -2.6895 -6.0373
-6.5242 -9.1252 4.2208
-11.9168 7.1735 -2.9112
Hg Cl O
28 8 12
direct
0.1666 0.2418 0.2500
0.8334 0.7418 0.2500
0.6833 0.2102 0.1299
0.8681 0.9595 0.2500
0.4711 0.1150 0.9178
0.4711 0.1150 0.5822
0.1319 0.4595 0.2500
0.0000 0.0000 0.0000
0.3167 0.7102 0.1299
0.5289 0.8850 0.4178
0.0000 0.5000 0.0000
0.0000 0.0000 0.5000
0.8334 0.7582 0.7500
0.6833 0.2898 0.8701
0.3167 0.7898 0.8701
0.6833 0.2102 0.3701
0.1319 0.0405 0.7500
0.6833 0.2898 0.6299
0.3167 0.7102 0.3701
0.4711 0.3850 0.4178
0.4711 0.3850 0.0822
0.1666 0.2582 0.7500
0.3167 0.7898 0.6299
0.5289 0.8850 0.0822
0.5289 0.6150 0.9178
0.8681 0.5405 0.7500
0.0000 0.5000 0.5000
0.5289 0.6150 0.5822
0.6652 0.9479 0.7500
0.9244 0.7500 0.5000
0.0756 0.2500 0.0000
0.3348 0.4479 0.7500
0.3348 0.0521 0.2500
0.9244 0.7500 0.0000
0.6652 0.5521 0.2500
0.0756 0.2500 0.5000
0.1354 0.8631 0.7500
0.8646 0.1369 0.2500
0.1354 0.6369 0.2500
0.7147 0.4695 0.9474
0.7147 0.0305 0.0526
0.7147 0.4695 0.5526
0.2853 0.5305 0.4474
0.2853 0.9695 0.9474
0.2853 0.5305 0.0526
0.7147 0.0305 0.4474
0.8646 0.3631 0.7500
0.2853 0.9695 0.5526